{"formula": "CrNi2Br", "functional": "PBE", "state": "optimized geometry", "lattice": [[-1.494, 2.184, 4.305], [1.494, -2.184, 4.305], [1.494, 2.184, -4.305]], "species": ["Cr", "Ni", "Ni", "Br"], "frac_coords": [[0.000, 0.000, 0.000], [0.255, 0.755, 0.500], [0.745, 0.245, 0.500], [0.500, 0.500, 0.000]], "total_energy_ev_per_atom": -5.127, "relative_energy_mev_per_atom": 249}

{"formula": "CrNi2Br", "functional": "PBE", "state": "optimized geometry", "lattice": [[-1.876, 1.876, 4.007], [1.876, -1.876, 4.007], [1.876, 1.876, -4.007]], "species": ["Cr", "Ni", "Ni", "Br"], "frac_coords": [[0.000, 0.000, 0.000], [0.250, 0.750, 0.500], [0.750, 0.250, 0.500], [0.500, 0.500, 0.000]], "total_energy_ev_per_atom": -5.052, "relative_energy_mev_per_atom": 324}

{"formula": "CrNiBr3", "functional": "PBE", "state": "optimized geometry", "lattice": [[5.120, 0.000, 0.000], [0.000, 5.120, 0.000], [0.000, 0.000, 5.120]], "species": ["Cr", "Ni", "Br", "Br", "Br"], "frac_coords": [[0.000, 0.000, 0.000], [0.500, 0.500, 0.500], [0.000, 0.000, 0.500], [0.000, 0.500, 0.000], [0.500, 0.000, 0.000]], "total_energy_ev_per_atom": -3.837, "relative_energy_mev_per_atom": 109}

{"formula": "Cr3NiBr", "functional": "PBE", "state": "optimized geometry", "lattice": [[4.696, 0.000, 0.000], [0.000, 4.696, 0.000], [0.000, 0.000, 4.696]], "species": ["Cr", "Cr", "Cr", "Ni", "Br"], "frac_coords": [[0.000, 0.000, 0.500], [0.000, 0.500, 0.000], [0.500, 0.000, 0.000], [0.000, 0.000, 0.000], [0.500, 0.500, 0.500]], "total_energy_ev_per_atom": -6.181, "relative_energy_mev_per_atom": 0}

{"formula": "CrNiBr", "functional": "PBE", "state": "optimized geometry", "lattice": [[1.828, -8.467, 0.000], [1.828, 8.467, 0.000], [0.000, 0.000, 3.606]], "species": ["Cr", "Cr", "Ni", "Ni", "Br", "Br"], "frac_coords": [[0.043, 0.957, 0.750], [0.957, 0.043, 0.250], [0.451, 0.549, 0.750], [0.549, 0.451, 0.250], [0.346, 0.654, 0.250], [0.654, 0.346, 0.750]], "total_energy_ev_per_atom": -5.712, "relative_energy_mev_per_atom": 54}

{"formula": "CrNi2Br", "functional": "PBE", "state": "optimized geometry", "lattice": [[0.000, 3.063, 3.063], [3.063, 0.000, 3.063], [3.063, 3.063, 0.000]], "species": ["Cr", "Ni", "Ni", "Br"], "frac_coords": [[0.000, 0.000, 0.000], [0.250, 0.250, 0.250], [0.750, 0.750, 0.750], [0.500, 0.500, 0.500]], "total_energy_ev_per_atom": -4.976, "relative_energy_mev_per_atom": 400}

{"formula": "CrNiBr4", "functional": "PBE", "state": "optimized geometry", "lattice": [[0.000, 4.383, 4.383], [4.383, 0.000, 4.383], [4.383, 4.383, 0.000]], "species": ["Cr", "Ni", "Br", "Br", "Br", "Br"], "frac_coords": [[0.000, 0.000, 0.000], [0.750, 0.750, 0.750], [0.375, 0.375, 0.375], [0.375, 0.375, 0.874], [0.375, 0.874, 0.375], [0.874, 0.375, 0.375]], "total_energy_ev_per_atom": -2.533}

{"formula": "CrNiBr", "functional": "PBE", "state": "optimized geometry", "lattice": [[3.304, 0.000, 0.000], [-1.652, 2.862, 0.000], [0.000, 0.000, 5.625]], "species": ["Cr", "Ni", "Br"], "frac_coords": [[0.000, 0.000, 0.000], [0.667, 0.333, 0.258], [0.333, 0.667, 0.691]], "total_energy_ev_per_atom": -5.327, "relative_energy_mev_per_atom": 439}

{"formula": "CrNiBr3", "functional": "PBE", "state": "optimized geometry", "lattice": [[4.942, 0.000, 0.000], [0.000, 4.942, 0.000], [0.000, 0.000, 4.942]], "species": ["Cr", "Ni", "Br", "Br", "Br"], "frac_coords": [[0.000, 0.000, 0.000], [0.500, 0.500, 0.500], [0.000, 0.500, 0.500], [0.500, 0.000, 0.500], [0.500, 0.500, 0.000]], "total_energy_ev_per_atom": -3.946, "relative_energy_mev_per_atom": 0}

{"formula": "Cr4NiBr", "functional": "PBE", "state": "optimized geometry", "lattice": [[0.000, 3.418, 3.418], [3.418, 0.000, 3.418], [3.418, 3.418, 0.000]], "species": ["Cr", "Cr", "Cr", "Cr", "Ni", "Br"], "frac_coords": [[0.122, 0.122, 0.122], [0.122, 0.122, 0.634], [0.122, 0.634, 0.122], [0.634, 0.122, 0.122], [0.750, 0.750, 0.750], [0.500, 0.500, 0.500]], "total_energy_ev_per_atom": -6.813}

{"formula": "CrNi2Br", "functional": "PBE", "state": "optimized geometry", "lattice": [[2.690, 0.000, 0.000], [0.000, 2.690, 0.000], [0.000, 0.000, 8.318]], "species": ["Cr", "Ni", "Ni", "Br"], "frac_coords": [[0.000, 0.000, 0.000], [0.500, 0.500, 0.191], [0.500, 0.500, 0.809], [0.000, 0.000, 0.500]], "total_energy_ev_per_atom": -5.149, "relative_energy_mev_per_atom": 226}

{"formula": "CrNiBr", "functional": "PBE", "state": "optimized geometry", "lattice": [[3.715, 0.000, 0.000], [0.000, 3.666, 0.000], [-1.830, 0.000, 8.591]], "species": ["Cr", "Cr", "Ni", "Ni", "Br", "Br"], "frac_coords": [[0.000, 0.000, 0.000], [0.406, 0.000, 0.808], [0.497, 0.500, 0.993], [0.902, 0.500, 0.801], [0.101, 0.500, 0.206], [0.799, 0.000, 0.591]], "total_energy_ev_per_atom": -5.766, "relative_energy_mev_per_atom": 0}

{"formula": "CrNi2Br", "functional": "PBE", "state": "optimized geometry", "lattice": [[0.000, 3.039, 3.039], [3.039, 0.000, 3.039], [3.039, 3.039, 0.000]], "species": ["Cr", "Ni", "Ni", "Br"], "frac_coords": [[0.000, 0.000, 0.000], [0.250, 0.250, 0.250], [0.500, 0.500, 0.500], [0.750, 0.750, 0.750]], "total_energy_ev_per_atom": -5.010, "relative_energy_mev_per_atom": 366}

{"formula": "CrNi2Br", "functional": "PBE", "state": "optimized geometry", "lattice": [[-3.032, 3.032, 3.865], [3.032, -3.032, 3.865], [3.032, 3.032, -3.865]], "species": ["Cr", "Cr", "Ni", "Ni", "Ni", "Ni", "Br", "Br"], "frac_coords": [[0.000, 0.000, 0.000], [0.750, 0.250, 0.500], [0.108, 0.125, 0.483], [0.375, 0.892, 0.017], [0.642, 0.625, 0.517], [0.875, 0.358, 0.983], [0.250, 0.750, 0.500], [0.500, 0.500, 0.000]], "total_energy_ev_per_atom": -4.841, "relative_energy_mev_per_atom": 535}

{"formula": "CrNiBr", "functional": "PBE", "state": "optimized geometry", "lattice": [[0.000, 2.991, 2.991], [2.991, 0.000, 2.991], [2.991, 2.991, 0.000]], "species": ["Cr", "Ni", "Br"], "frac_coords": [[0.000, 0.000, 0.000], [0.250, 0.250, 0.250], [0.750, 0.750, 0.750]], "total_energy_ev_per_atom": -4.971, "relative_energy_mev_per_atom": 795}

{"formula": "CrNi2Br", "functional": "PBE", "state": "optimized geometry", "lattice": [[-1.554, 2.157, 4.242], [1.554, -2.157, 4.242], [1.554, 2.157, -4.242]], "species": ["Cr", "Ni", "Ni", "Br"], "frac_coords": [[0.000, 0.000, 0.000], [0.266, 0.766, 0.500], [0.511, 0.511, 0.000], [0.746, 0.246, 0.500]], "total_energy_ev_per_atom": -5.073, "relative_energy_mev_per_atom": 303}

{"formula": "CrNi2Br", "functional": "PBE", "state": "optimized geometry", "lattice": [[3.057, 0.000, 0.000], [0.000, 4.273, 0.000], [0.000, 0.000, 4.329]], "species": ["Cr", "Ni", "Ni", "Br"], "frac_coords": [[0.000, 0.000, 0.000], [0.000, 0.500, 0.500], [0.500, 0.500, 0.000], [0.500, 0.000, 0.500]], "total_energy_ev_per_atom": -5.096, "relative_energy_mev_per_atom": 280}

{"formula": "CrNi2OsBr", "functional": "PBE", "state": "optimized geometry", "lattice": [[4.513, 0.000, 0.000], [0.000, 4.513, 0.000], [0.000, 0.000, 4.896]], "species": ["Cr", "Ni", "Ni", "Os", "Br"], "frac_coords": [[0.000, 0.000, 0.000], [0.000, 0.500, 0.500], [0.500, 0.000, 0.500], [0.500, 0.500, 0.500], [0.500, 0.500, 0.000]], "total_energy_ev_per_atom": -4.939}

{"formula": "CrNiPBr2", "functional": "PBE", "state": "optimized geometry", "lattice": [[4.635, 0.000, 0.000], [0.000, 4.635, 0.000], [0.000, 0.000, 4.910]], "species": ["Cr", "Ni", "P", "Br", "Br"], "frac_coords": [[0.000, 0.000, 0.000], [0.000, 0.000, 0.500], [0.500, 0.500, 0.000], [0.000, 0.500, 0.500], [0.500, 0.000, 0.500]], "total_energy_ev_per_atom": -3.610}

{"formula": "CrNi2PdBr", "functional": "PBE", "state": "optimized geometry", "lattice": [[4.649, 0.000, 0.000], [0.000, 4.649, 0.000], [0.000, 0.000, 4.923]], "species": ["Cr", "Ni", "Ni", "Pd", "Br"], "frac_coords": [[0.000, 0.000, 0.000], [0.000, 0.500, 0.500], [0.500, 0.000, 0.500], [0.500, 0.500, 0.500], [0.500, 0.500, 0.000]], "total_energy_ev_per_atom": -4.400}

Number 1: ρ 7365 kg/m3, formation energy (no corrections) 588 meV/atom. Number 2: ρ 7339 kg/m3, formation energy (no corrections) 662 meV/atom. Number 3: ρ 4335 kg/m3, formation energy (no corrections) 248 meV/atom. Number 4: ρ 4722 kg/m3, formation energy (no corrections) 1084 meV/atom. Number 5: ρ 5670 kg/m3, formation energy (no corrections) -19 meV/atom. Number 6: ρ 7199 kg/m3, formation energy (no corrections) 738 meV/atom. Number 7: ρ 4243 kg/m3, formation energy (no corrections) 1150 meV/atom. Number 8: ρ 5950 kg/m3, formation energy (no corrections) 365 meV/atom. Number 9: ρ 4821 kg/m3, formation energy (no corrections) 139 meV/atom. Number 10: ρ 7206 kg/m3, formation energy (no corrections) 845 meV/atom. Number 11: ρ 6876 kg/m3, formation energy (no corrections) 565 meV/atom. Number 12: ρ 5409 kg/m3, formation energy (no corrections) -74 meV/atom. Number 13: ρ 7372 kg/m3, formation energy (no corrections) 705 meV/atom. Number 14: ρ 5826 kg/m3, formation energy (no corrections) 874 meV/atom. Number 15: ρ 5915 kg/m3, formation energy (no corrections) 721 meV/atom. Number 16: ρ 7278 kg/m3, formation energy (no corrections) 642 meV/atom. Number 17: ρ 7322 kg/m3, formation energy (no corrections) 619 meV/atom. Number 18: ρ 7320 kg/m3, formation energy (no corrections) 1879 meV/atom. Number 19: ρ 4745 kg/m3, formation energy (no corrections) 1222 meV/atom. Number 20: ρ 5550 kg/m3, formation energy (no corrections) 1210 meV/atom.